Below is a geometry-optimized PuCuPd structure, with properties calculated at the GGA-PBE level.

ΔE_f = -0.22 eV/atom
symmetry = P-6m2 (187)
DOS(E_F) = 3.5209 states/eV per atom
energy above the lowest structure with this stoichiometry = 121 meV per atom

Cell: 4.6094 4.6094 3.0409 Å, 90.00 90.00 120.00°
Sites, in units of the cell vectors:
Pu 0.0000 0.0000 0.0000
Cu 0.3333 0.6667 0.5000
Pd 0.6667 0.3333 0.5000

***

Below is a geometry-optimized BeRePb2 structure, with properties calculated at the GGA-PBE level.

ΔE_f = 1.03 eV/atom
symmetry = P4/mmm (123)
DOS(E_F) = 0.5472 states/eV per atom

Cell: 3.5761 3.5761 6.0946 Å, 90.00 90.00 90.00°
Sites, in units of the cell vectors:
Be 0.0000 0.0000 0.0000
Re 0.0000 0.0000 0.5000
Pb 0.5000 0.5000 0.2473
Pb 0.5000 0.5000 0.7527

***

Below is a geometry-optimized Sr2MgSn4Ir3 structure, with properties calculated at the GGA-PBE level.

ΔE_f = -0.43 eV/atom
symmetry = P-4m2 (115)
DOS(E_F) = 0.6627 states/eV per atom

Cell: 4.5621 4.5621 11.3660 Å, 90.00 90.00 90.00°
Sites, in units of the cell vectors:
Sr 0.0000 0.5000 0.2433
Sr 0.5000 0.0000 0.7567
Mg 0.0000 0.0000 0.5000
Sn 0.0000 0.0000 0.0000
Sn 0.0000 0.5000 0.6408
Sn 0.5000 0.0000 0.3592
Sn 0.5000 0.5000 0.0000
Ir 0.0000 0.5000 0.8742
Ir 0.5000 0.0000 0.1258
Ir 0.5000 0.5000 0.5000

***

Below is a geometry-optimized Sc2ZnAg structure, with properties calculated at the GGA-PBE level.

ΔE_f = -0.32 eV/atom
symmetry = Pmm2 (25)
DOS(E_F) = 0.7917 states/eV per atom

Cell: 3.4012 4.7989 4.7987 Å, 90.00 90.00 90.00°
Sites, in units of the cell vectors:
Sc 0.0000 0.0000 0.0000
Sc 0.0000 0.5000 0.4992
Zn 0.5000 0.5000 0.9989
Ag 0.5000 0.0000 0.5006

***

Below is a geometry-optimized Ca2AlSbAs structure, with properties calculated at the GGA-PBE level.

formation energy from raw total energies = -0.743 eV per atom
symmetry = P2_1/m (11)
DOS(E_F) = 0.4096 states/eV per atom

Cell: 7.4341 4.2637 9.4615 Å, 90.00 106.52 90.00°
Sites, in units of the cell vectors:
Ca 0.1996 0.2500 0.3980
Ca 0.2199 0.2500 0.9766
Ca 0.7801 0.7500 0.0234
Ca 0.8004 0.7500 0.6020
Al 0.4918 0.2500 0.7765
Al 0.5082 0.7500 0.2235
Sb 0.2678 0.7500 0.6777
Sb 0.7322 0.2500 0.3223
As 0.1754 0.7500 0.1842
As 0.8246 0.2500 0.8158

***

Below is a geometry-optimized LiGe structure, with properties calculated at the GGA-PBE level.

ΔE_f = -0.25 eV/atom
symmetry = P-62m (189)
DOS(E_F) = 0.1413 states/eV per atom

Cell: 6.3960 6.3960 3.0675 Å, 90.00 90.00 120.00°
Sites, in units of the cell vectors:
Li 0.0000 0.5799 0.0000
Li 0.4201 0.4201 0.0000
Li 0.5799 0.0000 0.0000
Ge 0.0000 0.2325 0.5000
Ge 0.2325 0.0000 0.5000
Ge 0.7675 0.7675 0.5000

***

Below is a geometry-optimized ErH4IrAu2 structure, with properties calculated at the GGA-PBE level.

symmetry = P1 (1)
DOS(E_F) = 0.0745 states/eV per atom

Cell: 5.0400 5.0444 5.1564 Å, 86.78 62.06 60.05°
Sites, in units of the cell vectors:
Er 0.0000 0.0000 0.0000
H 0.5064 0.5195 0.1297
H 0.5688 0.6228 0.6453
H 0.9213 0.5768 0.0802
H 0.9420 0.8179 0.6188
Ir 0.7565 0.6223 0.8551
Au 0.2654 0.1283 0.3593
Au 0.5143 0.2480 0.7113

***

Below is a geometry-optimized La4BiAs2Se structure, with properties calculated at the GGA-PBE level.

formation energy from raw total energies = -1.564 eV per atom
symmetry = P2/m (10)
DOS(E_F) = 0.2583 states/eV per atom

Cell: 7.6757 4.4383 7.7361 Å, 90.00 109.31 90.00°
Sites, in units of the cell vectors:
La 0.2389 0.0000 0.2336
La 0.2497 0.5000 0.7636
La 0.7503 0.5000 0.2364
La 0.7611 0.0000 0.7664
Bi 0.5000 0.5000 0.5000
As 0.0000 0.5000 0.0000
As 0.5000 0.0000 0.0000
Se 0.0000 0.0000 0.5000

***

Below is a geometry-optimized La10US16 structure, with properties calculated at the GGA-PBE level.

formation energy from raw total energies = -2.100 eV per atom
symmetry = P-4 (81)
DOS(E_F) = 0.4760 states/eV per atom

Cell: 8.7261 8.7261 8.6961 Å, 90.00 90.00 90.00°
Sites, in units of the cell vectors:
La 0.0000 0.5000 0.2438
La 0.1338 0.7454 0.6192
La 0.2546 0.1338 0.3808
La 0.2567 0.3777 0.8553
La 0.3777 0.7433 0.1447
La 0.5000 0.0000 0.7562
La 0.6223 0.2567 0.1447
La 0.7433 0.6223 0.8553
La 0.7454 0.8662 0.3808
La 0.8662 0.2546 0.6192
U 0.0000 0.0000 0.0000
S 0.0637 0.6838 0.9449
S 0.0738 0.8273 0.2962
S 0.1674 0.4220 0.5401
S 0.1727 0.0738 0.7038
S 0.3162 0.0637 0.0551
S 0.3160 0.4201 0.1802
S 0.4201 0.6840 0.8198
S 0.4220 0.8326 0.4599
S 0.5780 0.1674 0.4599
S 0.5799 0.3160 0.8198
S 0.6840 0.5799 0.1802
S 0.6838 0.9363 0.0551
S 0.8273 0.9262 0.7038
S 0.8326 0.5780 0.5401
S 0.9262 0.1727 0.2962
S 0.9363 0.3162 0.9449

***

Below is a geometry-optimized V3Ga2Ru3 structure, with properties calculated at the GGA-PBE level.

ΔE_f = -0.36 eV/atom
symmetry = R3m (160)
DOS(E_F) = 0.6127 states/eV per atom

Cell: 7.3872 7.3872 7.3872 Å, 33.52 33.52 33.52°
Sites, in units of the cell vectors:
V 0.0000 0.0000 0.0000
V 0.1235 0.1235 0.1235
V 0.4997 0.4997 0.4997
Ga 0.2493 0.2493 0.2493
Ga 0.7482 0.7482 0.7482
Ru 0.3758 0.3758 0.3758
Ru 0.6240 0.6240 0.6240
Ru 0.8708 0.8708 0.8708

***

Below is a geometry-optimized GaHg structure, with properties calculated at the GGA-PBE level.

ΔE_f = 0.09 eV/atom
symmetry = P6_3/m (176)
DOS(E_F) = 0.2977 states/eV per atom

Cell: 7.7937 7.7937 5.6949 Å, 90.00 90.00 120.00°
Sites, in units of the cell vectors:
Ga 0.1417 0.6958 0.2500
Ga 0.3042 0.4460 0.2500
Ga 0.4460 0.1417 0.7500
Ga 0.5540 0.8583 0.2500
Ga 0.6958 0.5540 0.7500
Ga 0.8583 0.3042 0.7500
Hg 0.1290 0.7546 0.7500
Hg 0.2454 0.3743 0.7500
Hg 0.3743 0.1290 0.2500
Hg 0.6257 0.8710 0.7500
Hg 0.7546 0.6257 0.2500
Hg 0.8710 0.2454 0.2500

***

Below is a geometry-optimized TiFeCoNi structure, with properties calculated at the GGA-PBE level.

ΔE_f = -0.18 eV/atom
symmetry = F-43m (216)
DOS(E_F) = 1.3108 states/eV per atom
energy above the lowest structure with this stoichiometry = 106 meV per atom

Cell: 4.1204 4.1204 4.1204 Å, 60.00 60.00 60.00°
Sites, in units of the cell vectors:
Ti 0.0000 0.0000 0.0000
Fe 0.5000 0.5000 0.5000
Co 0.2500 0.2500 0.2500
Ni 0.7500 0.7500 0.7500

***

Below is a geometry-optimized Zr2CdHg structure, with properties calculated at the GGA-PBE level.

ΔE_f = -0.11 eV/atom
symmetry = P4mm (99)
DOS(E_F) = 0.8104 states/eV per atom
energy above the lowest structure with this stoichiometry = 36 meV per atom

Cell: 3.1370 3.1370 9.0537 Å, 90.00 90.00 90.00°
Sites, in units of the cell vectors:
Zr 0.0000 0.0000 0.0000
Zr 0.5000 0.5000 0.2530
Cd 0.0000 0.0000 0.5064
Hg 0.5000 0.5000 0.7546

***

Below is a geometry-optimized La3TiP structure, with properties calculated at the GGA-PBE level.

ΔE_f = -0.06 eV/atom
symmetry = Pm-3m (221)
DOS(E_F) = 2.6134 states/eV per atom
energy above the lowest structure with this stoichiometry = 0 meV per atom

Cell: 5.5809 5.5809 5.5809 Å, 90.00 90.00 90.00°
Sites, in units of the cell vectors:
La 0.0000 0.0000 0.5000
La 0.0000 0.5000 0.0000
La 0.5000 0.0000 0.0000
Ti 0.5000 0.5000 0.5000
P 0.0000 0.0000 0.0000

***

Below is a geometry-optimized Ga2GeAs2 structure, with properties calculated at the GGA-PBE level.

ΔE_f = 0.15 eV/atom
symmetry = P4/mbm (127)
DOS(E_F) = 0.4275 states/eV per atom

Cell: 7.4881 7.4881 3.5336 Å, 90.00 90.00 90.00°
Sites, in units of the cell vectors:
Ga 0.1425 0.3575 0.0000
Ga 0.3575 0.8575 0.0000
Ga 0.6425 0.1425 0.0000
Ga 0.8575 0.6425 0.0000
Ge 0.0000 0.0000 0.5000
Ge 0.5000 0.5000 0.5000
As 0.1611 0.6611 0.5000
As 0.3389 0.1611 0.5000
As 0.6611 0.8389 0.5000
As 0.8389 0.3389 0.5000

***

Below is a geometry-optimized Cs2BeAsO4 structure, with properties calculated at the GGA-PBE level.

formation energy from raw total energies = -1.621 eV per atom
symmetry = Fddd (70)
DOS(E_F) = 0.3265 states/eV per atom

Cell: 12.6661 11.2234 6.8097 Å, 85.53 62.06 32.41°
Sites, in units of the cell vectors:
Cs 0.0469 0.0469 0.7031
Cs 0.2969 0.2969 0.9531
Cs 0.7031 0.7031 0.0469
Cs 0.9531 0.9531 0.2969
Be 0.1250 0.1250 0.1250
Be 0.8750 0.8750 0.8750
As 0.3750 0.3750 0.3750
As 0.6250 0.6250 0.6250
O 0.0155 0.3145 0.3819
O 0.2118 0.6181 0.6855
O 0.3145 0.0155 0.7882
O 0.3819 0.7882 0.0155
O 0.6181 0.2118 0.9845
O 0.6855 0.9845 0.2118
O 0.7882 0.3819 0.3145
O 0.9845 0.6855 0.6181

***

Below is a geometry-optimized K2AsC structure, with properties calculated at the GGA-PBE level.

ΔE_f = 1.27 eV/atom
symmetry = Fm-3m (225)
DOS(E_F) = 0.9531 states/eV per atom
energy above the lowest structure with this stoichiometry = 704 meV per atom

Cell: 5.4401 5.4401 5.4401 Å, 60.00 60.00 60.00°
Sites, in units of the cell vectors:
K 0.2500 0.2500 0.2500
K 0.7500 0.7500 0.7500
As 0.0000 0.0000 0.0000
C 0.5000 0.5000 0.5000

***

Below is a geometry-optimized CaAlSiRh structure, with properties calculated at the GGA-PBE level.

formation energy from raw total energies = -0.634 eV per atom
symmetry = R3m (160)
DOS(E_F) = 0.4805 states/eV per atom

Cell: 5.7593 5.7593 5.7593 Å, 43.22 43.22 43.22°
Sites, in units of the cell vectors:
Ca 0.0000 0.0000 0.0000
Al 0.4663 0.4663 0.4663
Si 0.1971 0.1971 0.1971
Rh 0.8186 0.8186 0.8186

***

Below is a geometry-optimized K2PaTe5 structure, with properties calculated at the GGA-PBE level.

formation energy from raw total energies = -0.717 eV per atom
symmetry = P1 (1)
DOS(E_F) = 0.2287 states/eV per atom

Cell: 6.2057 6.2249 9.3612 Å, 105.01 104.92 100.76°
Sites, in units of the cell vectors:
K 0.0000 0.0000 0.0000
K 0.4929 0.5021 0.9947
Pa 0.2792 0.7836 0.4922
Te 0.0694 0.5740 0.1557
Te 0.1696 0.2434 0.4953
Te 0.4206 0.9251 0.8308
Te 0.6459 0.1498 0.4303
Te 0.7388 0.6731 0.4947

***

Below is a geometry-optimized HoPuZr structure, with properties calculated at the GGA-PBE level.

ΔE_f = 0.17 eV/atom
symmetry = P-6m2 (187)
DOS(E_F) = 3.2775 states/eV per atom
energy above the lowest structure with this stoichiometry = 36 meV per atom

Cell: 5.2741 5.2741 3.2331 Å, 90.00 90.00 120.00°
Sites, in units of the cell vectors:
Ho 0.0000 0.0000 0.0000
Pu 0.6667 0.3333 0.5000
Zr 0.3333 0.6667 0.5000

***

Below is a geometry-optimized AcY5Tl4 structure, with properties calculated at the GGA-PBE level.

ΔE_f = -0.29 eV/atom
symmetry = P4/mmm (123)
DOS(E_F) = 0.8410 states/eV per atom

Cell: 3.6526 3.6526 22.0766 Å, 90.00 90.00 90.00°
Sites, in units of the cell vectors:
Ac 0.0000 0.0000 0.0000
Y 0.5000 0.5000 0.1245
Y 0.5000 0.5000 0.3113
Y 0.5000 0.5000 0.5000
Y 0.5000 0.5000 0.6887
Y 0.5000 0.5000 0.8755
Tl 0.0000 0.0000 0.2163
Tl 0.0000 0.0000 0.4055
Tl 0.0000 0.0000 0.5945
Tl 0.0000 0.0000 0.7837

***

Below is a geometry-optimized LaPm2Sb structure, with properties calculated at the GGA-PBE level.

formation energy from raw total energies = -0.339 eV per atom
symmetry = Fm-3m (225)
DOS(E_F) = 0.9272 states/eV per atom
energy above the lowest structure with this stoichiometry = 249 meV per atom

Cell: 5.5245 5.5245 5.5245 Å, 60.00 60.00 60.00°
Sites, in units of the cell vectors:
La 0.0000 0.0000 0.0000
Pm 0.2500 0.2500 0.2500
Pm 0.7500 0.7500 0.7500
Sb 0.5000 0.5000 0.5000

***

Below is a geometry-optimized CaBeTeO5 structure, with properties calculated at the GGA-PBE level.

formation energy from raw total energies = -2.010 eV per atom
symmetry = C2/c (15)
DOS(E_F) = 0.0000 states/eV per atom

Cell: 5.4687 5.4687 7.2333 Å, 105.03 105.03 105.65°
Sites, in units of the cell vectors:
Ca 0.1563 0.8437 0.7500
Ca 0.8437 0.1563 0.2500
Be 0.1915 0.8085 0.2500
Be 0.8085 0.1915 0.7500
Te 0.5000 0.5000 0.0000
Te 0.5000 0.5000 0.5000
O 0.1275 0.2552 0.9074
O 0.1958 0.6015 0.3843
O 0.2552 0.1275 0.4074
O 0.3985 0.8042 0.1157
O 0.4167 0.5833 0.7500
O 0.5833 0.4167 0.2500
O 0.6015 0.1958 0.8843
O 0.7448 0.8725 0.5926
O 0.8042 0.3985 0.6157
O 0.8725 0.7448 0.0926

***

Below is a geometry-optimized LiHfSc2Rh4 structure, with properties calculated at the GGA-PBE level.

ΔE_f = -0.87 eV/atom
symmetry = R-3m (166)
DOS(E_F) = 0.3508 states/eV per atom

Cell: 7.7732 7.7732 7.7732 Å, 33.71 33.71 33.71°
Sites, in units of the cell vectors:
Li 0.0000 0.0000 0.0000
Hf 0.5000 0.5000 0.5000
Sc 0.2572 0.2572 0.2572
Sc 0.7428 0.7428 0.7428
Rh 0.1265 0.1265 0.1265
Rh 0.3779 0.3779 0.3779
Rh 0.6221 0.6221 0.6221
Rh 0.8735 0.8735 0.8735

***

Computed electronic total energy (eV/cell) in order:
-24.30, -19.45, -51.86, -18.06, -40.47, -21.10, -35.73, -48.89, -183.31, -64.16, -18.95, -29.98, -18.76, -28.39, -38.46, -85.77, -10.98, -21.05, -33.14, -26.96, -48.81, -19.91, -99.48, -60.87